(A)
This record from Alexandria via LeMat-Bulk describes Tb6Pm2Pr after structural relaxation. The functional is PBE-GGA.

## Properties
Crystal system ... monoclinic
SG ... C2/m (12)
M_tot ... 0.00 Bohr magnetons per cell

Lattice parameters (Å, degrees): 9.8677 9.8677 3.5088 100.18 100.18 63.56
Last column: nearest neighbours and their distance in Å.
Element x y z (fractional)
Tb (0.1550, 0.4895, 0.3209)  1 Pr 3.40, 7 Tb 3.41-3.74, 3 Pm 3.47-3.66
Tb (0.1836, 0.8164, 0.0000)  7 Tb 3.51-3.82, 4 Pm 3.67, 2 Pr 3.73
Tb (0.4895, 0.1550, 0.3209)  1 Pr 3.40, 7 Tb 3.41-3.74, 3 Pm 3.47-3.66
Tb (0.5105, 0.8450, 0.6791)  1 Pr 3.40, 7 Tb 3.41-3.74, 3 Pm 3.47-3.66
Tb (0.8164, 0.1836, 0.0000)  7 Tb 3.51-3.82, 4 Pm 3.67, 2 Pr 3.73
Tb (0.8450, 0.5105, 0.6791)  1 Pr 3.40, 7 Tb 3.41-3.74, 3 Pm 3.47-3.66
Pm (0.1580, 0.1580, 0.6567)  10 Tb 3.47-3.67, 2 Pm 3.51
Pm (0.8420, 0.8420, 0.3433)  10 Tb 3.47-3.67, 2 Pm 3.51
Pr (0.5000, 0.5000, 0.5000)  8 Tb 3.40-3.73, 2 Pr 3.51

***

(B)
This record from Alexandria via LeMat-Bulk describes Tb6Pm2Pr after structural relaxation. The functional is PBE-GGA.

## Properties
Crystal system ... tetragonal
SG ... P4_2/mnm (136)
M_tot ... 0.00 Bohr magnetons per cell

Lattice parameters (Å, degrees): 8.1968 8.1968 10.4424 90.00 90.00 90.00
Last column: nearest neighbours and their distance in Å.
Element x y z (fractional)
Tb (0.2361, 0.2361, 0.0000)  1 Pr 3.06, 2 Pm 3.25
Tb (0.2377, 0.2377, 0.3334)  2 Pm 3.04-3.26, 1 Pr 3.26
Tb (0.2377, 0.2377, 0.6666)  2 Pm 3.04-3.26, 1 Pr 3.26
Tb (0.2623, 0.7377, 0.1666)  2 Pm 3.04-3.26, 1 Pr 3.26
Tb (0.2623, 0.7377, 0.8334)  2 Pm 3.04-3.26, 1 Pr 3.26
Tb (0.2639, 0.7361, 0.5000)  1 Pr 3.06, 2 Pm 3.25
Tb (0.7361, 0.2639, 0.5000)  1 Pr 3.06, 2 Pm 3.25
Tb (0.7377, 0.2623, 0.1666)  2 Pm 3.04-3.26, 1 Pr 3.26
Tb (0.7377, 0.2623, 0.8334)  2 Pm 3.04-3.26, 1 Pr 3.26
Tb (0.7623, 0.7623, 0.3334)  2 Pm 3.04-3.26, 1 Pr 3.26
Tb (0.7623, 0.7623, 0.6666)  2 Pm 3.04-3.26, 1 Pr 3.26
Tb (0.7639, 0.7639, 0.0000)  1 Pr 3.06, 2 Pm 3.25
Pm (0.0000, 0.0000, 0.1674)  6 Tb 3.04-3.26
Pm (0.0000, 0.0000, 0.8326)  6 Tb 3.04-3.26
Pm (0.5000, 0.5000, 0.3326)  6 Tb 3.04-3.26
Pm (0.5000, 0.5000, 0.6674)  6 Tb 3.04-3.26
Pr (0.0000, 0.0000, 0.5000)  6 Tb 3.06-3.26
Pr (0.5000, 0.5000, 0.0000)  6 Tb 3.06-3.26

***

The structure with the greatest stability is (A).

***

(A)
This record from Alexandria via LeMat-Bulk describes Tb3Pm4Pr8 after structural relaxation. The functional is PBE-GGA.

## Properties
Crystal system ... trigonal
SG ... R-3m (166)
M_tot ... 0.00 Bohr magnetons per cell

Lattice parameters (Å, degrees): 12.8046 12.8046 12.8046 32.29 32.29 32.29
Last column: nearest neighbours and their distance in Å.
Element x y z (fractional)
Tb (0.0000, 0.5000, 0.5000)  6 Pr 3.54-3.63, 4 Tb 3.56, 2 Pm 3.56
Tb (0.5000, 0.0000, 0.5000)  6 Pr 3.54-3.63, 4 Tb 3.56, 2 Pm 3.56
Tb (0.5000, 0.5000, 0.0000)  6 Pr 3.54-3.63, 2 Pm 3.56, 4 Tb 3.56
Pm (0.0000, 0.0000, 0.0000)  6 Tb 3.56, 6 Pr 3.64
Pm (0.1640, 0.1640, 0.1640)  4 Pr 3.27-3.62
Pm (0.5000, 0.5000, 0.5000)  6 Pr 3.68, 6 Pm 4.11
Pm (0.8360, 0.8360, 0.8360)  4 Pr 3.27-3.62
Pr (0.2500, 0.2500, 0.7472)  6 Pr 3.54-3.58, 3 Pm 3.62-3.68, 2 Tb 3.63
Pr (0.2500, 0.7472, 0.2500)  6 Pr 3.54-3.58, 3 Pm 3.62-3.68, 2 Tb 3.63
Pr (0.2528, 0.7500, 0.7500)  6 Pr 3.54-3.58, 3 Pm 3.62-3.68, 2 Tb 3.63
Pr (0.2540, 0.2540, 0.2540)  1 Pm 3.27, 3 Tb 3.54, 6 Pr 3.56
Pr (0.7460, 0.7460, 0.7460)  1 Pm 3.27, 3 Tb 3.54, 6 Pr 3.56
Pr (0.7472, 0.2500, 0.2500)  6 Pr 3.54-3.58, 3 Pm 3.62-3.68, 2 Tb 3.63
Pr (0.7500, 0.2528, 0.7500)  6 Pr 3.54-3.58, 3 Pm 3.62-3.68, 2 Tb 3.63
Pr (0.7500, 0.7500, 0.2528)  6 Pr 3.54-3.58, 3 Pm 3.62-3.68, 2 Tb 3.63

***

(B)
This record from Alexandria via LeMat-Bulk describes Tb3Pm4Pr8 after structural relaxation. The functional is PBE-GGA.

## Properties
Crystal system ... monoclinic
SG ... C2/m (12)
M_tot ... 0.00 Bohr magnetons per cell

Lattice parameters (Å, degrees): 9.4059 9.4059 6.9487 111.59 111.59 82.21
Last column: nearest neighbours and their distance in Å.
Element x y z (fractional)
Tb (0.0000, 0.0000, 0.0000)  4 Pr 3.12
Tb (0.0000, 0.5000, 0.5000)  2 Pm 3.47, 8 Pr 3.54-3.59
Tb (0.5000, 0.0000, 0.5000)  2 Pm 3.47, 8 Pr 3.54-3.59
Pm (0.0000, 0.5000, 0.0000)  2 Tb 3.47, 8 Pr 3.54-3.60
Pm (0.5000, 0.0000, 0.0000)  2 Tb 3.47, 8 Pr 3.54-3.60
Pm (0.5000, 0.5000, 0.0000)  2 Pr 3.06
Pm (0.5000, 0.5000, 0.5000)  2 Pr 3.06
Pr (0.2031, 0.2031, 0.7033)  4 Pr 3.52-3.55, 3 Pm 3.59-3.67, 2 Tb 3.59
Pr (0.2028, 0.7972, 0.5000)  4 Pr 3.53-3.55, 2 Tb 3.59, 3 Pm 3.60-3.68
Pr (0.2525, 0.2525, 0.2538)  1 Pm 3.06, 1 Tb 3.12
Pr (0.2525, 0.7475, 0.0000)  1 Pm 3.06, 1 Tb 3.12
Pr (0.7475, 0.2525, 0.0000)  1 Pm 3.06, 1 Tb 3.12
Pr (0.7475, 0.7475, 0.7462)  1 Pm 3.06, 1 Tb 3.12
Pr (0.7972, 0.2028, 0.5000)  4 Pr 3.53-3.55, 2 Tb 3.59, 3 Pm 3.60-3.68
Pr (0.7969, 0.7969, 0.2967)  4 Pr 3.52-3.55, 3 Pm 3.59-3.67, 2 Tb 3.59

***

The structure with the greatest stability is (A).

***

(A)
This record from Alexandria via LeMat-Bulk describes Tb4PmPr6 after structural relaxation. The functional is PBE-GGA.

## Properties
Crystal system ... tetragonal
SG ... I-42m (121)
M_tot ... 0.00 Bohr magnetons per cell

Lattice parameters (Å, degrees): 10.0465 10.0465 10.0465 141.47 141.47 55.62
Last column: nearest neighbours and their distance in Å.
Element x y z (fractional)
Tb (0.0095, 0.6373, 0.0000)  5 Pr 3.34-3.55, 1 Tb 3.49, 1 Pm 3.59
Tb (0.3627, 0.3627, 0.3722)  5 Pr 3.34-3.55, 1 Tb 3.49, 1 Pm 3.59
Tb (0.6373, 0.0095, 0.0000)  5 Pr 3.34-3.55, 1 Tb 3.49, 1 Pm 3.59
Tb (0.9905, 0.9905, 0.6278)  5 Pr 3.34-3.55, 1 Tb 3.49, 1 Pm 3.59
Pm (0.0000, 0.0000, 0.0000)  4 Pr 3.31, 4 Tb 3.59
Pr (0.0000, 0.5000, 0.5000)  2 Pm 3.31, 4 Pr 3.43
Pr (0.1853, 0.1853, 0.6418)  5 Tb 3.34-3.55, 3 Pr 3.36-3.43
Pr (0.4565, 0.8147, 0.0000)  5 Tb 3.34-3.55, 3 Pr 3.36-3.43
Pr (0.5000, 0.0000, 0.5000)  2 Pm 3.31, 4 Pr 3.43
Pr (0.5435, 0.5435, 0.3582)  5 Tb 3.34-3.55, 3 Pr 3.36-3.43
Pr (0.8147, 0.4565, 0.0000)  5 Tb 3.34-3.55, 3 Pr 3.36-3.43

***

(B)
This record from Alexandria via LeMat-Bulk describes Tb4PmPr6 after structural relaxation. The functional is PBE-GGA.

## Properties
Crystal system ... hexagonal
SG ... P-6m2 (187)
M_tot ... 0.00 Bohr magnetons per cell

Lattice parameters (Å, degrees): 11.1771 11.1771 3.6176 90.00 90.00 120.00
Last column: nearest neighbours and their distance in Å.
Element x y z (fractional)
Tb (0.0000, 0.0000, 0.0000)  9 Pr 3.43-3.76, 2 Tb 3.62
Tb (0.5072, 0.0143, 0.5000)  6 Pr 3.34-3.58, 2 Pm 3.58, 2 Tb 3.62
Tb (0.5072, 0.4928, 0.5000)  6 Pr 3.34-3.58, 2 Pm 3.58, 2 Tb 3.62
Tb (0.9857, 0.4928, 0.5000)  6 Pr 3.34-3.58, 2 Pm 3.58, 2 Tb 3.62
Pm (0.6667, 0.3333, 0.0000)  6 Tb 3.58, 2 Pm 3.62, 6 Pr 3.97
Pr (0.1941, 0.3881, 0.0000)  5 Tb 3.58-3.76, 6 Pr 3.62-3.86
Pr (0.1941, 0.8059, 0.0000)  5 Tb 3.58-3.76, 6 Pr 3.62-3.86
Pr (0.3012, 0.1506, 0.5000)  4 Tb 3.34-3.43, 2 Pr 3.62
Pr (0.6119, 0.8059, 0.0000)  5 Tb 3.58-3.76, 6 Pr 3.62-3.86
Pr (0.8494, 0.1506, 0.5000)  4 Tb 3.34-3.43, 2 Pr 3.62
Pr (0.8494, 0.6988, 0.5000)  4 Tb 3.34-3.43, 2 Pr 3.62

***

The structure with the greatest stability is (B).

***

(A)
This record from Alexandria via LeMat-Bulk describes Tb12Pm6Pr after structural relaxation. The functional is PBE-GGA.

## Properties
Crystal system ... trigonal
SG ... R-3 (148)
M_tot ... 0.00 Bohr magnetons per cell

Lattice parameters (Å, degrees): 8.6116 8.6116 8.6116 88.92 88.92 88.92
Last column: nearest neighbours and their distance in Å.
Element x y z (fractional)
Tb (0.0133, 0.3560, 0.2053)  4 Tb 3.43-3.59, 4 Pm 3.53-3.71, 1 Pr 3.57
Tb (0.2053, 0.0133, 0.3560)  4 Tb 3.43-3.59, 4 Pm 3.53-3.71, 1 Pr 3.57
Tb (0.2259, 0.5628, 0.4600)  6 Tb 3.29-3.61, 3 Pm 3.35-3.45
Tb (0.3560, 0.2053, 0.0133)  4 Tb 3.43-3.59, 4 Pm 3.53-3.71, 1 Pr 3.57
Tb (0.4372, 0.5400, 0.7741)  6 Tb 3.29-3.61, 3 Pm 3.35-3.45
Tb (0.4600, 0.2259, 0.5628)  6 Tb 3.29-3.61, 3 Pm 3.35-3.45
Tb (0.5400, 0.7741, 0.4372)  6 Tb 3.29-3.61, 3 Pm 3.35-3.45
Tb (0.5628, 0.4600, 0.2259)  6 Tb 3.29-3.61, 3 Pm 3.35-3.45
Tb (0.6440, 0.7947, 0.9867)  4 Tb 3.43-3.59, 4 Pm 3.53-3.71, 1 Pr 3.57
Tb (0.7741, 0.4372, 0.5400)  6 Tb 3.29-3.61, 3 Pm 3.35-3.45
Tb (0.7947, 0.9867, 0.6440)  4 Tb 3.43-3.59, 4 Pm 3.53-3.71, 1 Pr 3.57
Tb (0.9867, 0.6440, 0.7947)  4 Tb 3.43-3.59, 4 Pm 3.53-3.71, 1 Pr 3.57
Pm (0.0913, 0.2594, 0.6891)  7 Tb 3.35-3.71, 1 Pr 3.54, 2 Pm 3.56
Pm (0.2594, 0.6891, 0.0913)  7 Tb 3.35-3.71, 1 Pr 3.54, 2 Pm 3.56
Pm (0.3109, 0.9087, 0.7406)  7 Tb 3.35-3.71, 1 Pr 3.54, 2 Pm 3.56
Pm (0.6891, 0.0913, 0.2594)  7 Tb 3.35-3.71, 1 Pr 3.54, 2 Pm 3.56
Pm (0.7406, 0.3109, 0.9087)  7 Tb 3.35-3.71, 1 Pr 3.54, 2 Pm 3.56
Pm (0.9087, 0.7406, 0.3109)  7 Tb 3.35-3.71, 1 Pr 3.54, 2 Pm 3.56
Pr (0.0000, 0.0000, 0.0000)  6 Pm 3.54, 6 Tb 3.57

***

(B)
This record from Alexandria via LeMat-Bulk describes Tb12Pm6Pr after structural relaxation. The functional is PBE-GGA.

## Properties
Crystal system ... trigonal
SG ... R-3m (166)
M_tot ... 0.00 Bohr magnetons per cell

Lattice parameters (Å, degrees): 8.7797 8.7797 8.7797 98.79 98.79 98.79
Last column: nearest neighbours and their distance in Å.
Element x y z (fractional)
Tb (0.0000, 0.2577, 0.7423)  6 Tb 3.36-3.55, 4 Pm 3.49-3.58
Tb (0.0000, 0.7423, 0.2577)  6 Tb 3.36-3.55, 4 Pm 3.49-3.58
Tb (0.1440, 0.1440, 0.4180)  6 Tb 3.36-3.65, 2 Pm 3.72
Tb (0.1440, 0.4180, 0.1440)  6 Tb 3.36-3.65, 2 Pm 3.72
Tb (0.2577, 0.0000, 0.7423)  6 Tb 3.36-3.55, 4 Pm 3.49-3.58
Tb (0.2577, 0.7423, 0.0000)  6 Tb 3.36-3.55, 4 Pm 3.49-3.58
Tb (0.4180, 0.1440, 0.1440)  6 Tb 3.36-3.65, 2 Pm 3.72
Tb (0.5820, 0.8560, 0.8560)  6 Tb 3.36-3.65, 2 Pm 3.72
Tb (0.7423, 0.0000, 0.2577)  6 Tb 3.36-3.55, 4 Pm 3.49-3.58
Tb (0.7423, 0.2577, 0.0000)  6 Tb 3.36-3.55, 4 Pm 3.49-3.58
Tb (0.8560, 0.5820, 0.8560)  6 Tb 3.36-3.65, 2 Pm 3.72
Tb (0.8560, 0.8560, 0.5820)  6 Tb 3.36-3.65, 2 Pm 3.72
Pm (0.1554, 0.5983, 0.5983)  1 Pm 3.10, 1 Pr 3.47
Pm (0.4017, 0.4017, 0.8446)  1 Pm 3.10, 1 Pr 3.47
Pm (0.4017, 0.8446, 0.4017)  1 Pm 3.10, 1 Pr 3.47
Pm (0.5983, 0.1554, 0.5983)  1 Pm 3.10, 1 Pr 3.47
Pm (0.5983, 0.5983, 0.1554)  1 Pm 3.10, 1 Pr 3.47
Pm (0.8446, 0.4017, 0.4017)  1 Pm 3.10, 1 Pr 3.47
Pr (0.5000, 0.5000, 0.5000)  6 Pm 3.47

***

The structure with the greatest stability is (A).